Material: TaCr2Rh
Method: DFT, GGA-PBEsol
State: relaxed

## Properties
**Energy above the most stable polymorph in this dataset**: 0.116 eV/atom
**Uncorrected energy**: -0.374 Ha/atom
**E_form**: 49 kJ/mol of formula units

Cell lengths 3.0229, 3.0199, 5.9532 Å; angles 90.00, 90.00, 90.00 degrees
Closest atoms and distances in Å follow each position.
Positions (direct):
Cr (0.0000, 0.0000, 0.7486)  4 Ta 2.60, 4 Rh 2.61
Cr (0.0000, 0.0000, 0.2514)  4 Ta 2.60, 4 Rh 2.61
Ta (0.5000, 0.5000, 0.5000)  8 Cr 2.60
Rh (0.5000, 0.5000, 0.0000)  8 Cr 2.61